Entry from Alexandria via LeMat-Bulk: crystalline HoTlCd at its relaxed geometry (PBE).

Cell: 4.9322 4.9322 4.9322 Å, 60.00 60.00 60.00°
Positions (direct):
Tl: 0.2500 0.2500 0.2500
Ho: 0.0000 0.0000 0.0000
Cd: 0.5000 0.5000 0.5000

Values from the calculation:
**Density**: 9.43 g/cm³
**Magnetic moment**: 0.00 μB per cell
**Calculated formation energy**: -0.16 eV/atom